(1)
VASP calculation (SCAN) on a PBEsol-optimized structure of AsIrOs2.

Results
ΔE_f (eV/atom): 0.39

a = 2.798 Å, b = 3.738 Å, c = 5.551 Å
α = 90.00°, β = 90.00°, γ = 90.00°
Atoms (fractional coordinates):
Os  0.000  0.000  0.014
Os  0.500  0.500  0.228
Ir  0.500  0.500  0.746
As  0.000  0.000  0.512

(2)
VASP calculation (SCAN) on a PBEsol-optimized structure of Ti2Ga2Tc.

Results
ΔE_f (eV/atom): -0.57

a = 3.393 Å, b = 6.621 Å, c = 6.621 Å
α = 90.00°, β = 90.00°, γ = 90.00°
Atoms (fractional coordinates):
Ga  0.000  0.130  0.370
Ga  0.000  0.370  0.870
Ga  0.000  0.630  0.130
Ga  0.000  0.870  0.630
Ti  0.500  0.674  0.826
Ti  0.500  0.326  0.174
Ti  0.500  0.826  0.326
Ti  0.500  0.174  0.674
Tc  0.000  0.500  0.500
Tc  0.000  0.000  0.000

(3)
VASP calculation (SCAN) on a PBEsol-optimized structure of Ca2NbNiB.

Results
ΔE_f (eV/atom): 0.63

a = 4.253 Å, b = 4.993 Å, c = 4.993 Å
α = 90.00°, β = 90.00°, γ = 90.00°
Atoms (fractional coordinates):
Nb  0.500  0.000  0.000
Ca  0.000  0.500  0.000
Ca  0.000  0.000  0.500
B  0.000  0.000  0.000
Ni  0.500  0.500  0.500

(4)
VASP calculation (SCAN) on a PBEsol-optimized structure of Re2WSe.

Results
Formation energy without anion corrections (eV/atom): 0.591

a = 3.036 Å, b = 4.456 Å, c = 4.456 Å
α = 90.00°, β = 90.00°, γ = 90.00°
Atoms (fractional coordinates):
Re  0.000  0.000  0.500
Re  0.000  0.500  0.000
Se  0.500  0.500  0.500
W  0.500  0.000  0.000

no.,total energy (eV per cell)
1,-233.5
2,-205.4
3,-72.9
4,-229.6